Entry from the Alexandria database: a geometry-optimized Y2ScSn2 structure (PBE).

Values from the calculation:
**Energy above the lowest structure with this stoichiometry**: 368 meV/atom
**ΔH_f (0 K)**: -1.693 eV per formula unit
**M_tot**: 1.63 Bohr magnetons per cell
**E_tot**: -5.792 eV per atom

CIF file:
```
data_Y2ScSn2
_chemical_formula_sum 'Y4 Sc2 Sn4'
_space_group_name_H-M_alt 'P 4/m b m'
_space_group_IT_number 127
_space_group_name_Hall '-P 4 2ab'
_cell_length_a 8.946
_cell_length_b 8.946
_cell_length_c 3.456
_cell_angle_alpha 90.00
_cell_angle_beta 90.00
_cell_angle_gamma 90.00
loop_
_atom_site_label
_atom_site_fract_x
_atom_site_fract_y
_atom_site_fract_z
Y1 0.128 0.372 0.000
Sc1 0.000 0.000 0.000
Sn1 0.173 0.673 0.500
```